# 1
Below is a relaxed MnSbO4 crystal, with properties calculated at the PBE with a Hubbard U level.

POSCAR file:
```
MnSbO4
1.0
3.9916 0.0000 0.0000
0.0000 3.9916 0.0000
-1.9958 -1.9958 4.8778
O Sb Mn
4 1 1
direct
0.0473 0.5473 0.0946
0.2105 0.2105 0.4209
0.7895 0.7895 0.5791
0.4527 0.9527 0.9054
0.2500 0.7500 0.5000
0.0000 0.0000 0.0000
```

## Properties
DOS(E_F): 0.06 states/eV per atom

---

# 2
Below is a relaxed MnSb2O4 crystal, with properties calculated at the PBE with a Hubbard U level.

POSCAR file:
```
MnSb2O4
1.0
8.4243 0.2924 0.9404
-0.2444 5.8046 0.8823
-3.2292 -2.5468 4.2344
Sb O Mn
4 8 2
direct
0.4018 0.2189 0.1700
0.0792 0.3817 0.6799
0.7286 0.8811 0.2614
0.7383 0.4460 0.8090
0.8775 0.6265 0.7048
0.2840 0.5076 0.1897
0.2416 0.0789 0.7639
0.2676 0.0287 0.2653
0.8933 0.1436 0.2855
0.5852 0.7762 0.8454
0.9286 0.2134 0.7901
0.8977 0.6556 0.2009
0.3378 0.8209 0.5237
0.9888 0.9708 0.0104
```

## Properties
DOS(E_F): 0.00 states/eV per atom

---

# 3
Below is a relaxed MnSbO4 crystal, with properties calculated at the PBE with a Hubbard U level.

POSCAR file:
```
MnSbO4
1.0
4.6339 0.0000 0.0000
0.0000 5.2807 0.0000
0.0000 0.0000 5.5776
O Mn Sb
8 2 2
direct
0.2782 0.3279 0.3915
0.7604 0.1591 0.1079
0.2604 0.8409 0.6079
0.7218 0.6721 0.3915
0.2396 0.8409 0.1079
0.2218 0.3279 0.8915
0.7782 0.6721 0.8915
0.7396 0.1591 0.6079
0.0000 0.5000 0.1560
0.5000 0.5000 0.6560
0.0000 0.0000 0.8452
0.5000 0.0000 0.3452
```

## Properties
DOS(E_F): 0.08 states/eV per atom

---

# 4
Below is a relaxed MnSb2O4 crystal, with properties calculated at the PBE with a Hubbard U level.

POSCAR file:
```
MnSb2O4
1.0
6.1741 0.0000 0.0000
0.0000 8.8590 0.0000
0.0000 0.0000 8.8590
O Mn Sb
16 4 8
direct
0.0000 0.5997 0.8593
0.7500 0.6807 0.1807
0.0000 0.0997 0.6407
0.2500 0.1807 0.3193
0.7500 0.1807 0.3193
0.7500 0.8193 0.6807
0.0000 0.9003 0.3593
0.5000 0.3593 0.0997
0.2500 0.6807 0.1807
0.7500 0.3193 0.8193
0.2500 0.3193 0.8193
0.5000 0.8593 0.4003
0.5000 0.1407 0.5997
0.5000 0.6407 0.9003
0.0000 0.4003 0.1407
0.2500 0.8193 0.6807
0.2500 0.0000 0.5000
0.7500 0.0000 0.5000
0.2500 0.5000 0.0000
0.7500 0.5000 0.0000
0.5000 0.8310 0.1808
0.0000 0.6808 0.3310
0.0000 0.3192 0.6690
0.0000 0.1808 0.1690
0.5000 0.6690 0.6808
0.5000 0.1690 0.8192
0.0000 0.8192 0.8310
0.5000 0.3310 0.3192
```

## Properties
DOS(E_F): 0.00 states/eV per atom

---

# 5
Below is a relaxed MnSbO4 crystal, with properties calculated at the PBE with a Hubbard U level.

POSCAR file:
```
MnSbO4
1.0
-0.7795 1.9717 2.1671
1.2280 -3.5615 3.6819
4.3072 3.4197 -1.5622
O Mn Sb
4 1 1
direct
0.5000 0.2627 0.7856
0.0000 0.6696 0.7376
0.0000 0.3304 0.2624
0.5000 0.7373 0.2144
0.5000 0.5000 0.5000
0.0000 0.5000 0.0000
```

---

# 6
Below is a relaxed MnSb2O6 crystal, with properties calculated at the PBE with a Hubbard U level.

POSCAR file:
```
MnSb2O6
1.0
4.7435 0.0000 0.0000
0.0000 5.2770 0.0000
0.0000 -2.6385 4.5700
O Sb Mn
6 2 1
direct
0.7303 0.0000 0.3576
0.7303 0.3576 0.0000
0.2697 0.3576 0.3576
0.2697 0.0000 0.6424
0.7303 0.6424 0.6424
0.2697 0.6424 0.0000
0.5000 0.6667 0.3333
0.5000 0.3333 0.6667
0.0000 0.0000 0.0000
```

## Properties
DOS(E_F): 0.00 states/eV per atom

---

# 7
Below is a relaxed MnSb3O crystal, with properties calculated at the PBE with a Hubbard U level.

POSCAR file:
```
MnSb3O
1.0
5.0696 0.0000 0.0000
0.0000 5.0696 0.0000
0.0000 0.0000 5.0696
Sb Mn O
3 1 1
direct
0.0000 0.0000 0.5000
0.0000 0.5000 0.0000
0.5000 0.0000 0.0000
0.0000 0.0000 0.0000
0.5000 0.5000 0.5000
```

## Properties
DOS(E_F): 0.66 states/eV per atom

---

# 8
Below is a relaxed MnSb2O6 crystal, with properties calculated at the PBE with a Hubbard U level.

POSCAR file:
```
MnSb2O6
1.0
-2.4343 3.9818 -1.0880
-2.6929 -2.4892 -3.0849
-6.2312 -1.9034 6.9753
Mn Sb O
2 4 12
direct
0.0000 0.0000 0.0000
0.5000 0.5000 0.5000
0.0000 0.0000 0.6677
0.5000 0.5000 0.1677
0.0000 0.0000 0.3323
0.5000 0.5000 0.8323
0.8148 0.8148 0.5000
0.2990 0.7010 0.6761
0.2010 0.2010 0.1761
0.7010 0.2990 0.6761
0.2990 0.7010 0.3239
0.1852 0.1852 0.5000
0.7010 0.2990 0.3239
0.2010 0.2010 0.8239
0.7990 0.7990 0.8239
0.7990 0.7990 0.1761
0.6852 0.3147 0.0000
0.3147 0.6852 0.0000
```

## Properties
DOS(E_F): 0.11 states/eV per atom

---

| no. | electronic total energy (hartree per atom) |
| --- | --- |
| 1 | -0.24456 |
| 2 | -0.23632 |
| 3 | -0.24575 |
| 4 | -0.24005 |
| 5 | -0.24364 |
| 6 | -0.24084 |
| 7 | -0.15065 |
| 8 | -0.24081 |